Below is crystalline Nd4CdHg at its relaxed geometry, with properties calculated at the PBE-GGA level.

Unit cell a=3.765 b=3.765 c=13.100 alpha=90.00 beta=90.00 gamma=90.00
Fractional coordinates of all 6 atoms:
Nd (0.500, 0.500, 0.845)
Nd (0.500, 0.500, 0.155)
Nd (0.000, 0.000, 0.652)
Nd (0.000, 0.000, 0.348)
Cd (0.000, 0.000, 0.000)
Hg (0.500, 0.500, 0.500)

- Final energy: -3.6333 eV/atom
- Relative energy among the computed polymorphs: 0 meV/atom
- Magnetic moment: 0.01 μB/f.u.

Below is crystalline KS2BrCl at its relaxed geometry, with properties calculated at the PBE-GGA level.

Unit cell a=4.819 b=4.819 c=6.876 alpha=90.00 beta=90.00 gamma=90.00
Fractional coordinates of all 5 atoms:
K (0.500, 0.500, 0.500)
S (0.000, 0.500, 0.000)
S (0.500, 0.000, 0.000)
Br (0.000, 0.000, 0.000)
Cl (0.000, 0.000, 0.500)

- Final energy: -2.5493 eV/atom
- Relative energy among the computed polymorphs: 0 meV/atom
- E_form (uncorrected): 25 meV/atom
- Magnetic moment: 0.00 μB/f.u.

Below is crystalline Sc2NbSiSn at its relaxed geometry, with properties calculated at the PBE-GGA level.

Unit cell a=5.097 b=4.895 c=5.097 alpha=90.00 beta=90.00 gamma=90.00
Fractional coordinates of all 5 atoms:
Sc (0.000, 0.000, 0.500)
Sc (0.500, 0.000, 0.000)
Nb (0.000, 0.000, 0.000)
Si (0.000, 0.500, 0.000)
Sn (0.500, 0.500, 0.500)

- Final energy: -5.9720 eV/atom
- E_form (uncorrected): 460 meV/atom
- Magnetic moment: 0.00 μB/f.u.

Below is crystalline DyTh2Au6 at its relaxed geometry, with properties calculated at the PBE-GGA level.

Unit cell a=3.433 b=8.290 c=8.290 alpha=120.00 beta=90.00 gamma=90.00
Fractional coordinates of all 9 atoms:
Dy (0.000, 0.000, 0.000)
Th (0.000, 0.333, 0.667)
Th (0.000, 0.667, 0.333)
Au (0.500, 0.331, 0.331)
Au (0.500, 0.669, 0.669)
Au (0.500, 0.000, 0.669)
Au (0.500, 0.669, 0.000)
Au (0.500, 0.331, 0.000)
Au (0.500, 0.000, 0.331)

- Final energy: -5.0633 eV/atom
- Magnetic moment: 0.00 μB/f.u.

Below is crystalline Nd3DyTm3Te8 at its relaxed geometry, with properties calculated at the PBE-GGA level.

Unit cell a=8.735 b=8.736 c=8.797 alpha=119.77 beta=90.00 gamma=120.00
Fractional coordinates of all 15 atoms:
Nd (0.000, 0.000, 0.000)
Nd (0.000, 0.500, 0.000)
Nd (0.500, 0.500, 0.000)
Dy (0.000, 0.000, 0.500)
Tm (0.500, 0.000, 0.500)
Tm (0.500, 0.500, 0.500)
Tm (0.000, 0.500, 0.500)
Te (0.255, 0.510, 0.266)
Te (0.745, 0.490, 0.734)
Te (0.746, 0.493, 0.257)
Te (0.254, 0.507, 0.743)
Te (0.747, 0.011, 0.257)
Te (0.253, 0.989, 0.743)
Te (0.264, 0.011, 0.257)
Te (0.736, 0.989, 0.743)

- Final energy: -5.2028 eV/atom
- E_form (uncorrected): -1373 meV/atom
- Magnetic moment: 0.00 μB/f.u.

Below is crystalline Cs2CaPrI6 at its relaxed geometry, with properties calculated at the PBE-GGA level.

Unit cell a=8.871 b=8.872 c=12.550 alpha=90.00 beta=90.00 gamma=90.00
Site moments in Bohr magnetons follow the coordinates.
Fractional coordinates of all 20 atoms:
Cs (0.500, 0.750, 0.248)  0.00
Cs (0.000, 0.250, 0.748)  0.00
Cs (0.500, 0.750, 0.752)  0.00
Cs (0.000, 0.250, 0.252)  0.00
Ca (0.000, 0.750, 0.500)  0.05
Ca (0.500, 0.250, 0.000)  0.05
Pr (0.500, 0.250, 0.500)  0.42
Pr (0.000, 0.750, 0.000)  0.42
I (0.500, 0.250, 0.247)  0.00
I (0.500, 0.250, 0.753)  0.00
I (0.000, 0.750, 0.253)  0.00
I (0.000, 0.750, 0.747)  0.00
I (0.247, 0.997, 0.500)  0.00
I (0.753, 0.997, 0.500)  0.00
I (0.247, 0.502, 0.500)  0.00
I (0.753, 0.502, 0.500)  0.00
I (0.747, 0.498, 0.000)  0.00
I (0.253, 0.498, 0.000)  0.00
I (0.253, 0.003, 0.000)  0.00
I (0.747, 0.003, 0.000)  0.00

- Final energy: -3.2070 eV/atom
- E_form (uncorrected): -1428 meV/atom
- Magnetic moment: 0.99 μB/f.u.